9
Lattice="4.000 0.000 0.000 0.000 6.503 3.743 0.000 -6.503 3.743" Properties=species:S:1:pos:R:3 comment="GGA-PBE DyEr2Mg3AgPt2, relaxed" magmom_total_mub_per_fu=0.02 total_energy_ev_per_cell=-39.977 pbc="T T T"
Dy 0.000 0.000 0.000
Er 0.000 -2.730 4.719
Er 0.000 2.730 4.719
Mg 2.000 -1.650 2.201
Mg 2.000 1.650 2.201
Mg 2.000 0.000 5.037
Ag 0.000 0.000 3.153
Pt 2.000 -4.321 3.141
Pt 2.000 4.321 3.141